A plane-wave DFT calculation with GGA-PBE was carried out for a relaxed TaInIrRh crystal.

a b c (Å): 4.5542 4.5542 4.5542
angles (deg): 60.00 60.00 60.00
With the nearest neighbours (Å) after each atom.
Atoms (fractional coordinates):
Rh 0.7500 0.7500 0.7500  4 Ta 2.79, 4 In 2.79
Ir 0.2500 0.2500 0.2500  4 Ta 2.79, 4 In 2.79
In 0.5000 0.5000 0.5000  4 Rh 2.79, 4 Ir 2.79
Ta 0.0000 0.0000 0.0000  4 Ir 2.79, 4 Rh 2.79

Properties
- Magnetization: 0.0 Bohr magnetons per cell
- D(E_F): 0.64 states/eV/atom
- SG: F-43m, No. 216
- ΔH_f (0 K): -0.34 eV per atom